Record 1
Y2ScBeGe: optimized geometry, GGA-PBE.

Cell and atoms, written as POSCAR:
```
Y2ScBeGe
1.0
-1.7044 2.6988 -3.9288
-2.9772 -3.5778 -1.1662
-3.5853 2.0235 2.9453
Y Sc Ge Be
2 1 1 1
direct
0.0000 0.0000 0.5000
0.5000 0.0000 0.0000
0.0000 0.5000 0.0000
0.5000 0.5000 0.5000
0.0000 0.0000 0.0000
```

Computed properties:
The calculation puts the volume at 24.6 Å³ per atom. As for the space group: P4/mmm (123). The crystal system is tetragonal. As for the total energy: -5.505 eV/atom. The value obtained for the calculated formation energy is 0.02 eV/atom. The calculation puts the total magnetic moment at 0.000 μB per cell.

=====

Record 2
BeGeSe: optimized geometry, GGA-PBE.

Cell and atoms, written as POSCAR:
```
BeGeSe
1.0
-1.8648 -8.0262 -0.2296
0.0215 -0.1147 3.8337
-6.3845 8.3307 0.2850
Ge Se Be
4 4 4
direct
0.1121 0.0000 0.3354
0.1121 0.5000 0.8354
0.8879 0.5000 0.1646
0.8879 0.0000 0.6646
0.3096 0.0000 0.2225
0.6904 0.5000 0.2775
0.6904 0.0000 0.7775
0.3096 0.5000 0.7225
0.6662 0.5000 0.8845
0.3338 0.0000 0.6155
0.6662 0.0000 0.3845
0.3338 0.5000 0.1155
```

Computed properties:
The calculation puts the volume at 21.4 Å³ per atom. As for the space group: C2/m (12). The crystal system is monoclinic. As for the total energy: -4.179 eV/atom. The calculation puts the total magnetic moment at 0.000 μB per cell. As for the distance to the lowest polymorph of the same formula: 16 meV per atom.

=====

Record 3
BeGe3Se: optimized geometry, GGA-PBE.

Cell and atoms, written as POSCAR:
```
BeGe3Se
1.0
-3.8658 -1.8094 2.8410
3.1827 -0.5466 3.9827
-1.1026 4.7662 1.5353
Ge Be Se
3 1 1
direct
0.5000 0.0000 0.0000
0.0000 0.0000 0.5000
0.0000 0.5000 0.0000
0.5000 0.5000 0.5000
0.0000 0.0000 0.0000
```

Computed properties:
The calculation puts the volume at 27.0 Å³ per atom. As for the space group: Pm-3m (221). The crystal system is cubic. As for the total energy: -3.045 eV/atom. The calculation puts the total magnetic moment at 0.000 μB per cell. As for the distance to the lowest polymorph of the same formula: 787 meV per atom.